# MgZnRh2 (GGA-PBE, optimized geometry)
# VASP energy	-4.7767	eV per atom
# DFT formation energy	-384	meV/atom
data_MgZnRh2
_chemical_formula_sum 'Mg1 Zn1 Rh2'
_space_group_name_H-M_alt 'P 1'
_space_group_IT_number 1
_cell_length_a 5.088
_cell_length_b 5.088
_cell_length_c 4.549
_cell_angle_alpha 67.99
_cell_angle_beta 67.99
_cell_angle_gamma 32.79
loop_
_space_group_symop_operation_xyz
'x,y,z'
loop_
_atom_site_label
_atom_site_type_symbol
_atom_site_fract_x
_atom_site_fract_y
_atom_site_fract_z
Zn1 Zn 0.510 0.510 0.421
Rh1 Rh 0.992 0.992 0.928
Rh2 Rh 0.256 0.256 0.326
Mg1 Mg 0.743 0.743 0.825